No. 1
{
  "formula": "V6Ge3Rh",
  "functional": "GGA-PBE",
  "state": "relaxed",
  "lattice": [[-0.8258, 2.7506, 5.0087], [0.0859, -6.4612, 3.5625], [6.8099, 2.8096, -0.4202]],
  "species": ["V", "V", "V", "V", "V", "V", "V", "V", "V", "V", "V", "V", "Rh", "Rh", "Ge", "Ge", "Ge", "Ge", "Ge", "Ge"],
  "frac_coords": [[0.0963, 0.7349, 0.6238], [0.1064, 0.7239, 0.2761], [0.8251, 0.4358, 0.0294], [0.8251, 0.9706, 0.5642], [0.6064, 0.2761, 0.7239], [0.2942, 0.9520, 0.0480], [0.5963, 0.2651, 0.3762], [0.7942, 0.0480, 0.9520], [0.3251, 0.0294, 0.4358], [0.5963, 0.6238, 0.7349], [0.3251, 0.5642, 0.9706], [0.0963, 0.3762, 0.2651], [0.1183, 0.1891, 0.8109], [0.6183, 0.8109, 0.1891], [0.9496, 0.0616, 0.2810], [0.9496, 0.7190, 0.9384], [0.4496, 0.2810, 0.0616], [0.2246, 0.3962, 0.6038], [0.4496, 0.9384, 0.7190], [0.7246, 0.6038, 0.3962]],
  "magmom_total_mub_per_cell": 0.0,
  "total_energy_ev_per_cell": -154.2,
  "vol_a3_per_cell": 294.4,
  "dos_at_fermi_per_ev_atom": 1.155,
  "spacegroup": "Cmc2_1 (36)"
}

---

No. 2
{
  "formula": "V2GeRh5",
  "functional": "GGA-PBE",
  "state": "relaxed",
  "lattice": [[-0.3887, -3.8696, -0.5724], [4.3413, 0.0355, -3.1887], [6.1536, -1.8544, 8.3572]],
  "species": ["V", "V", "V", "V", "Rh", "Rh", "Rh", "Rh", "Rh", "Rh", "Rh", "Rh", "Rh", "Rh", "Ge", "Ge"],
  "frac_coords": [[0.5000, 0.1770, 0.8572], [0.5000, 0.6770, 0.6428], [0.5000, 0.8230, 0.1428], [0.5000, 0.3230, 0.3572], [0.0000, 0.9349, 0.7436], [0.5000, 0.6962, 0.8903], [0.0000, 0.0651, 0.2564], [0.0000, 0.0000, 0.0000], [0.5000, 0.1962, 0.6097], [0.0000, 0.4349, 0.7564], [0.5000, 0.3038, 0.1097], [0.5000, 0.8038, 0.3903], [0.0000, 0.5651, 0.2436], [0.0000, 0.5000, 0.5000], [0.0000, 0.0000, 0.5000], [0.0000, 0.5000, 0.0000]],
  "magmom_total_mub_per_cell": 2.4,
  "total_energy_ev_per_cell": -126.3,
  "vol_a3_per_cell": 223.2,
  "dos_at_fermi_per_ev_atom": 1.032,
  "spacegroup": "Pbam (55)"
}

---

No. 3
{
  "formula": "V2GeRh",
  "functional": "GGA-PBE",
  "state": "relaxed",
  "lattice": [[-3.9381, -4.6011, 3.1742], [3.9925, 0.4022, 5.5364], [-1.4482, -0.1979, 5.2811]],
  "species": ["Rh", "Rh", "V", "V", "V", "V", "Ge", "Ge"],
  "frac_coords": [[0.0000, 0.0000, 0.0000], [0.7500, 0.2500, 0.5000], [0.6321, 0.1250, 0.2500], [0.8750, 0.8821, 0.7500], [0.1179, 0.6250, 0.2500], [0.3750, 0.3679, 0.7500], [0.5000, 0.5000, 0.0000], [0.2500, 0.7500, 0.5000]],
  "magmom_total_mub_per_cell": 0.0,
  "total_energy_ev_per_cell": -59.4,
  "vol_a3_per_cell": 120.6,
  "dos_at_fermi_per_ev_atom": 1.037,
  "spacegroup": "I-42d (122)"
}

---

No. 4
{
  "formula": "V3GeRh",
  "functional": "GGA-PBE",
  "state": "relaxed",
  "lattice": [[-0.3122, 2.2678, 1.5016], [-5.3553, -3.3636, 1.6044], [7.2485, -3.2195, 3.8771]],
  "species": ["V", "V", "V", "V", "V", "V", "Rh", "Rh", "Ge", "Ge"],
  "frac_coords": [[0.9254, 0.0615, 0.1491], [0.4899, 0.5430, 0.6543], [0.3760, 0.6639, 0.9508], [0.6240, 0.3361, 0.0492], [0.0746, 0.9385, 0.8509], [0.5101, 0.4570, 0.3457], [0.2255, 0.8340, 0.5558], [0.7745, 0.1660, 0.4442], [0.8306, 0.2495, 0.7577], [0.1694, 0.7505, 0.2423]],
  "magmom_total_mub_per_cell": 0.0,
  "total_energy_ev_per_cell": -81.4,
  "vol_a3_per_cell": 138.4,
  "de_polymorph_mev_per_atom": 0,
  "dos_at_fermi_per_ev_atom": 0.713,
  "spacegroup": "P-1 (2)"
}

---

No. 5
{
  "formula": "V2Ge2Rh",
  "functional": "GGA-PBE",
  "state": "relaxed",
  "lattice": [[-0.9031, -2.5830, 3.2687], [-0.4238, -4.4466, -3.6308], [6.5447, 0.1030, -0.8900]],
  "species": ["Rh", "Rh", "Ge", "Ge", "Ge", "Ge", "V", "V", "V", "V"],
  "frac_coords": [[0.3492, 0.1286, 0.6984], [0.6508, 0.6286, 0.3016], [0.8162, 0.8971, 0.6325], [0.1838, 0.3971, 0.3675], [0.5478, 0.9918, 0.0956], [0.4522, 0.4918, 0.9044], [0.8337, 0.4321, 0.6675], [0.0015, 0.1847, 0.0029], [0.1663, 0.9321, 0.3325], [0.9985, 0.6847, 0.9971]],
  "magmom_total_mub_per_cell": 0.5,
  "total_energy_ev_per_cell": -72.6,
  "vol_a3_per_cell": 153.4,
  "de_polymorph_mev_per_atom": 0,
  "dos_at_fermi_per_ev_atom": 0.806,
  "spacegroup": "Cmc2_1 (36)"
}

---

No. 6
{
  "formula": "V2GeRh",
  "functional": "GGA-PBE",
  "state": "relaxed",
  "lattice": [[2.7536, 0.0000, 0.0000], [1.3768, 2.3847, 0.0000], [1.3768, 0.7949, 9.2002]],
  "species": ["V", "V", "Rh", "Ge"],
  "frac_coords": [[0.9111, 0.9111, 0.2667], [0.0889, 0.0889, 0.7333], [0.5000, 0.5000, 0.5000], [0.0000, 0.0000, 0.0000]],
  "magmom_total_mub_per_cell": 0.0,
  "total_energy_ev_per_cell": -29.5,
  "vol_a3_per_cell": 60.4,
  "dos_at_fermi_per_ev_atom": 1.602,
  "spacegroup": "R-3m (166)"
}

---

No. 7
{
  "formula": "V2Ge2Rh",
  "functional": "GGA-PBE",
  "state": "relaxed",
  "lattice": [[6.3870, 0.0000, 0.0000], [0.0000, 6.3870, 0.0000], [0.0000, 0.0000, 3.5535]],
  "species": ["V", "V", "V", "V", "Ge", "Ge", "Ge", "Ge", "Rh", "Rh"],
  "frac_coords": [[0.8364, 0.3364, 0.5000], [0.3364, 0.1636, 0.5000], [0.1636, 0.6636, 0.5000], [0.6636, 0.8364, 0.5000], [0.3617, 0.8617, 0.0000], [0.1383, 0.3617, 0.0000], [0.8617, 0.6383, 0.0000], [0.6383, 0.1383, 0.0000], [0.0000, 0.0000, 0.0000], [0.5000, 0.5000, 0.0000]],
  "magmom_total_mub_per_cell": 0.0,
  "total_energy_ev_per_cell": -72.1,
  "vol_a3_per_cell": 145.0,
  "de_polymorph_mev_per_atom": 50,
  "dos_at_fermi_per_ev_atom": 1.206,
  "spacegroup": "P4/mbm (127)"
}

---

No. 8
{
  "formula": "V4Ge6Rh7",
  "functional": "GGA-PBE",
  "state": "relaxed",
  "lattice": [[-0.9598, -5.0130, -4.6759], [2.1364, -2.7871, 5.9652], [-5.9600, 3.3665, 1.0300]],
  "species": ["V", "V", "V", "V", "Rh", "Rh", "Rh", "Rh", "Rh", "Rh", "Rh", "Ge", "Ge", "Ge", "Ge", "Ge", "Ge"],
  "frac_coords": [[0.0000, 0.5000, 0.0000], [0.0000, 0.0000, 0.5000], [0.5000, 0.5000, 0.5000], [0.5000, 0.0000, 0.0000], [0.0000, 0.0000, 0.0000], [0.7500, 0.5000, 0.2500], [0.5000, 0.2500, 0.7500], [0.2500, 0.5000, 0.7500], [0.2500, 0.7500, 0.5000], [0.5000, 0.7500, 0.2500], [0.7500, 0.2500, 0.5000], [0.0000, 0.3088, 0.3088], [0.3088, 0.3088, 0.0000], [0.6912, 0.0000, 0.6912], [0.3088, 0.0000, 0.3088], [0.6912, 0.6912, 0.0000], [0.0000, 0.6912, 0.6912]],
  "magmom_total_mub_per_cell": 7.4,
  "total_energy_ev_per_cell": -121.7,
  "vol_a3_per_cell": 255.3,
  "dos_at_fermi_per_ev_atom": 1.357,
  "spacegroup": "Im-3m (229)"
}

---

Number 1: ΔE_f -0.118 eV per atom. Number 2: ΔE_f -0.443 eV per atom. Number 3: ΔE_f 0.121 eV per atom. Number 4: ΔE_f -0.271 eV per atom. Number 5: ΔE_f -0.296 eV per atom. Number 6: ΔE_f 0.182 eV per atom. Number 7: ΔE_f -0.245 eV per atom. Number 8: ΔE_f -0.358 eV per atom.